VASP calculation (PBE) on a relaxed structure of BIrPd.

Cell and atoms, written as POSCAR:
```
BIrPd
1.0
-1.3781 1.3781 4.8470
1.3781 -1.3781 4.8470
1.3781 1.3781 -4.8470
B Ir Pd
1 1 1
direct
0.0000 0.0000 0.0000 B
0.6024 0.6024 0.0000 Ir
0.3264 0.3264 0.0000 Pd
```

Results
The calculation puts the excess energy over the best structure of this formula in the dataset at 0.806 eV per formula unit. The electronic total energy is -20.752 eV for the cell shown. Its total magnetization is 0.0 μB/cell. The space group is I4mm, No. 107.